DFT (PBE with a Hubbard U) results for Cd2NiOsO6 after structural relaxation.

## Properties
Total DFT energy (no corrections), eV/atom: -5.513
Total magnetic moment, μB per atom: 0.40
DOS at the Fermi energy, states/eV/atom: 0.410
Space-group type: P2_1/c, No. 14

abc: 5.4337 5.5080 7.8145
angles: 90.00 90.06 90.00
With the nearest neighbours (Å) after each atom.
Sites, in units of the cell vectors:
O (0.2932, 0.6899, 0.0484)  1 Os 1.94, 1 Ni 2.08
O (0.9007, 0.5389, 0.2399)  1 Os 1.96, 1 Ni 2.11
O (0.4007, 0.9611, 0.7399)  1 Os 1.96, 1 Ni 2.11
O (0.0993, 0.4611, 0.7601)  1 Os 1.96, 1 Ni 2.11
O (0.6843, 0.2918, 0.5561)  1 Os 1.94, 1 Ni 2.11
O (0.5993, 0.0389, 0.2601)  1 Os 1.96, 1 Ni 2.11
O (0.7932, 0.8101, 0.5484)  1 Os 1.94, 1 Ni 2.08
O (0.1843, 0.2082, 0.0561)  1 Os 1.94, 1 Ni 2.11
O (0.3157, 0.7082, 0.4439)  1 Os 1.94, 1 Ni 2.11
O (0.7068, 0.3101, 0.9516)  1 Os 1.94, 1 Ni 2.08
O (0.8157, 0.7918, 0.9439)  1 Os 1.94, 1 Ni 2.11
O (0.2068, 0.1899, 0.4516)  1 Os 1.94, 1 Ni 2.08
Cd (0.4922, 0.4561, 0.2489)  4 O 2.27-2.37
Cd (0.5078, 0.5439, 0.7511)  4 O 2.27-2.37
Cd (0.0078, 0.9561, 0.2511)  4 O 2.27-2.37
Cd (0.9922, 0.0439, 0.7489)  4 O 2.27-2.37
Os (0.5000, 0.0000, 0.5000)  6 O 1.94-1.96
Os (0.0000, 0.5000, 0.0000)  6 O 1.94-1.96
Ni (0.0000, 0.5000, 0.5000)  6 O 2.08-2.11
Ni (0.5000, 0.0000, 0.0000)  6 O 2.08-2.11